[1]
DFT (GGA-PBE) results for a geometry-optimized Pr5Dy2Y4 structure.

a = 3.5761 Å, b = 11.7379 Å, c = 9.1223 Å
α = 93.84°, β = 101.30°, γ = 90.00°
With the nearest neighbours (Å) after each atom.
Fractional positions:
1 Pr 0.9031 0.4637 0.8062  4 Y 3.33-3.57, 3 Dy 3.49-3.59, 3 Pr 3.51-3.58
2 Pr 0.0969 0.5363 0.1938  4 Y 3.33-3.57, 3 Dy 3.49-3.59, 3 Pr 3.51-3.58
3 Pr 0.8230 0.9276 0.6460  4 Y 3.47-3.73, 6 Pr 3.58-3.68, 2 Dy 3.79
4 Pr 0.5000 0.0000 0.0000  6 Y 3.58-3.60, 6 Pr 3.58-3.68
5 Pr 0.1770 0.0724 0.3540  4 Y 3.47-3.73, 6 Pr 3.58-3.68, 2 Dy 3.79
6 Dy 0.7163 0.3552 0.4327  5 Pr 3.49-3.79, 2 Dy 3.58, 4 Y 3.67-3.78
7 Dy 0.2837 0.6448 0.5673  5 Pr 3.49-3.79, 2 Dy 3.58, 4 Y 3.67-3.78
8 Y 0.3590 0.2046 0.7181  6 Pr 3.51-3.73, 4 Y 3.58-3.66, 2 Dy 3.67
9 Y 0.9639 0.7382 0.9279  5 Pr 3.33-3.58, 4 Y 3.58-3.66
10 Y 0.6410 0.7954 0.2819  6 Pr 3.51-3.73, 4 Y 3.58-3.66, 2 Dy 3.67
11 Y 0.0361 0.2618 0.0721  5 Pr 3.33-3.58, 4 Y 3.58-3.66

Computed properties:
The calculated formation energy is 0.072 eV/atom. The energy above the lowest structure with this stoichiometry comes out at 0.0 meV/atom. The value obtained for the final energy is -5.29 eV per atom.



[2]
DFT (GGA-PBE) results for a geometry-optimized RbCd3Hg3 structure.

a = 8.0888 Å, b = 8.0888 Å, c = 8.0888 Å
α = 90.00°, β = 90.00°, γ = 90.00°
With the nearest neighbours (Å) after each atom.
Fractional positions:
1 Hg 0.0000 0.2500 0.5000  4 Cd 2.86
2 Hg 0.0000 0.7500 0.5000  4 Cd 2.86
3 Hg 0.5000 0.0000 0.7500  4 Cd 2.86
4 Hg 0.7500 0.5000 0.0000  4 Cd 2.86
5 Hg 0.5000 0.0000 0.2500  4 Cd 2.86
6 Hg 0.2500 0.5000 0.0000  4 Cd 2.86
7 Rb 0.5000 0.5000 0.5000  12 Cd 4.52, 12 Hg 4.52
8 Rb 0.0000 0.0000 0.0000  12 Cd 4.52, 12 Hg 4.52
9 Cd 0.2500 0.0000 0.5000  4 Hg 2.86
10 Cd 0.0000 0.5000 0.2500  4 Hg 2.86
11 Cd 0.5000 0.7500 0.0000  4 Hg 2.86
12 Cd 0.7500 0.0000 0.5000  4 Hg 2.86
13 Cd 0.0000 0.5000 0.7500  4 Hg 2.86
14 Cd 0.5000 0.2500 0.0000  4 Hg 2.86

Computed properties:
The calculated formation energy is 0.023 eV/atom. The energy above the lowest structure with this stoichiometry comes out at 119.6 meV/atom. The value obtained for the final energy is -0.64 eV per atom.



[3]
DFT (GGA-PBE) results for a geometry-optimized K2HgAu2 structure.

a = 9.2377 Å, b = 9.2377 Å, c = 4.0391 Å
α = 90.00°, β = 90.00°, γ = 90.00°
With the nearest neighbours (Å) after each atom.
Fractional positions:
1 K 0.3469 0.8469 0.0000  6 Au 3.37-3.38, 2 Hg 3.50
2 K 0.8469 0.6531 0.0000  6 Au 3.37-3.38, 2 Hg 3.50
3 K 0.6531 0.1531 0.0000  6 Au 3.37-3.38, 2 Hg 3.50
4 K 0.1531 0.3469 0.0000  6 Au 3.37-3.38, 2 Hg 3.50
5 Au 0.1402 0.6402 0.5000  6 K 3.37-3.38, 1 Au 3.66
6 Au 0.6402 0.8598 0.5000  6 K 3.37-3.38, 1 Au 3.66
7 Au 0.8598 0.3598 0.5000  6 K 3.37-3.38, 1 Au 3.66
8 Au 0.3598 0.1402 0.5000  6 K 3.37-3.38, 1 Au 3.66
9 Hg 0.0000 0.0000 0.0000  4 K 3.50
10 Hg 0.5000 0.5000 0.0000  4 K 3.50

Computed properties:
The calculated formation energy is -0.183 eV/atom. The energy above the lowest structure with this stoichiometry comes out at 111.1 meV/atom. The value obtained for the final energy is -1.99 eV per atom.



[4]
DFT (GGA-PBE) results for a geometry-optimized VZnB structure.

a = 2.8224 Å, b = 2.8224 Å, c = 30.9702 Å
α = 90.00°, β = 90.00°, γ = 120.00°
With the nearest neighbours (Å) after each atom.
Fractional positions:
1 Zn 0.0000 0.0000 0.8554  3 V 2.74, 9 Zn 2.78-2.82
2 Zn 0.3333 0.6667 0.5221  3 V 2.74, 9 Zn 2.78-2.82
3 Zn 0.6667 0.3333 0.1888  3 V 2.74, 9 Zn 2.78-2.82
4 Zn 0.0000 0.0000 0.4494  3 V 2.74, 9 Zn 2.78-2.82
5 Zn 0.3333 0.6667 0.1160  3 V 2.74, 9 Zn 2.78-2.82
6 Zn 0.6667 0.3333 0.7827  3 V 2.74, 9 Zn 2.78-2.82
7 B 0.0000 0.0000 0.3287  3 B 1.74
8 B 0.3333 0.6667 0.9953  3 B 1.74
9 B 0.6667 0.3333 0.6620  3 B 1.74
10 B 0.0000 0.0000 0.6427  3 B 1.74
11 B 0.3333 0.6667 0.3094  3 B 1.74
12 B 0.6667 0.3333 0.9761  3 B 1.74
13 V 0.0000 0.0000 0.2600  4 B 2.13-2.24
14 V 0.3333 0.6667 0.9267  4 B 2.13-2.23
15 V 0.6667 0.3333 0.5933  4 B 2.13-2.24
16 V 0.0000 0.0000 0.7114  4 B 2.13-2.24
17 V 0.3333 0.6667 0.3781  4 B 2.13-2.24
18 V 0.6667 0.3333 0.0448  4 B 2.13-2.24

Computed properties:
The calculated formation energy is -0.120 eV/atom. The energy above the lowest structure with this stoichiometry comes out at 296.3 meV/atom. The value obtained for the final energy is -5.81 eV per atom.



[5]
DFT (GGA-PBE) results for a geometry-optimized Rb4S12Cl structure.

a = 9.2621 Å, b = 9.2628 Å, c = 9.2629 Å
α = 109.47°, β = 109.47°, γ = 109.47°
With the nearest neighbours (Å) after each atom.
Fractional positions:
1 Rb 0.0000 0.5000 0.0000  6 S 3.45
2 Rb 0.0000 0.0000 0.5000  6 S 3.45
3 Rb 0.5000 0.0000 0.0000  6 S 3.45
4 Rb 0.5000 0.5000 0.5000  6 S 3.45
5 S 0.7130 0.1225 0.5906  1 S 1.94
6 S 0.8776 0.4094 0.2870  1 S 1.94
7 S 0.4095 0.5319 0.1225  1 S 1.94
8 S 0.1224 0.4094 0.5319  1 S 1.94
9 S 0.5905 0.4681 0.8775  1 S 1.94
10 S 0.1224 0.5906 0.7130  1 S 1.94
11 S 0.5906 0.7130 0.1224  1 S 1.94
12 S 0.4094 0.2870 0.8776  1 S 1.94
13 S 0.8776 0.5906 0.4681  1 S 1.94
14 S 0.5319 0.1224 0.4094  1 S 1.94
15 S 0.4681 0.8776 0.5906  1 S 1.94
16 S 0.2870 0.8775 0.4094  1 S 1.94
17 Cl 0.0000 0.0000 0.0000  12 S 4.57, 8 Rb 4.63

Computed properties:
The uncorrected formation energy is -436.7 meV/atom. The value obtained for the final energy is -3.69 eV per atom.



[6]
DFT (GGA-PBE) results for a geometry-optimized Tb3Tm2Tl3 structure.

a = 3.7570 Å, b = 5.3686 Å, c = 11.7345 Å
α = 103.22°, β = 99.21°, γ = 90.00°
With the nearest neighbours (Å) after each atom.
Fractional positions:
1 Tb 0.3734 0.3734 0.7468  6 Tl 3.28-3.42, 4 Tm 3.63-3.64
2 Tb 0.6266 0.6266 0.2532  6 Tl 3.28-3.42, 4 Tm 3.63-3.64
3 Tb 0.5000 0.0000 0.0000  8 Tl 3.28-3.32
4 Tm 0.2643 0.7643 0.5286  2 Tl 3.19, 4 Tm 3.34
5 Tm 0.7357 0.2357 0.4714  2 Tl 3.19, 4 Tm 3.34
6 Tl 0.8786 0.8786 0.7572  2 Tm 3.19, 6 Tb 3.28-3.32
7 Tl 0.0000 0.5000 0.0000  8 Tb 3.28-3.42
8 Tl 0.1214 0.1214 0.2428  2 Tm 3.19, 6 Tb 3.28-3.32

Computed properties:
The calculated formation energy is -0.271 eV/atom. The value obtained for the final energy is -4.01 eV per atom.



[7]
DFT (GGA-PBE) results for a geometry-optimized TbNd2Rh2 structure.

a = 3.8836 Å, b = 6.8385 Å, c = 10.2085 Å
α = 91.68°, β = 79.03°, γ = 73.50°
With the nearest neighbours (Å) after each atom.
Fractional positions:
1 Tb 0.8440 0.9508 0.3612  4 Rh 2.76-2.90
2 Tb 0.1560 0.0492 0.6388  4 Rh 2.76-2.90
3 Nd 0.5862 0.7547 0.0729  4 Rh 2.88-3.20
4 Nd 0.8522 0.6051 0.6906  6 Rh 2.99-3.22
5 Nd 0.4138 0.2453 0.9271  4 Rh 2.88-3.20
6 Nd 0.1478 0.3949 0.3094  6 Rh 2.99-3.22
7 Rh 0.1321 0.8586 0.8773  1 Tb 2.79, 4 Nd 2.88-3.08, 1 Rh 2.95
8 Rh 0.4312 0.6925 0.4452  3 Tb 2.76-2.90, 1 Rh 2.84, 2 Nd 2.99
9 Rh 0.8679 0.1414 0.1227  1 Tb 2.79, 4 Nd 2.88-3.08, 1 Rh 2.95
10 Rh 0.5688 0.3075 0.5548  3 Tb 2.76-2.90, 1 Rh 2.84, 2 Nd 2.99

Computed properties:
The calculated formation energy is -0.615 eV/atom. The energy above the lowest structure with this stoichiometry comes out at 0.0 meV/atom. The value obtained for the final energy is -6.39 eV per atom.



[8]
DFT (GGA-PBE) results for a geometry-optimized Tb3SnC structure.

a = 4.9213 Å, b = 4.9213 Å, c = 4.9213 Å
α = 90.00°, β = 90.00°, γ = 90.00°
With the nearest neighbours (Å) after each atom.
Fractional positions:
1 C 0.0000 0.0000 0.0000  6 Tb 2.46
2 Tb 0.0000 0.5000 0.0000  2 C 2.46
3 Tb 0.0000 0.0000 0.5000  2 C 2.46
4 Tb 0.5000 0.0000 0.0000  2 C 2.46
5 Sn 0.5000 0.5000 0.5000  12 Tb 3.48

Computed properties:
The calculated formation energy is -0.614 eV/atom. The value obtained for the final energy is -6.04 eV per atom.



[9]
DFT (GGA-PBE) results for a geometry-optimized ZnSiOsO6 structure.

a = 4.9225 Å, b = 4.9225 Å, c = 8.9643 Å
α = 90.00°, β = 90.00°, γ = 120.00°
With the nearest neighbours (Å) after each atom.
Fractional positions:
1 Zn 0.0000 0.0000 0.0000  6 O 2.17
2 Zn 0.0000 0.0000 0.5000  6 O 2.17
3 Si 0.6667 0.3333 0.2500  6 O 1.80
4 Si 0.3333 0.6667 0.7500  6 O 1.80
5 Os 0.3333 0.6667 0.2500  6 O 1.94
6 Os 0.6667 0.3333 0.7500  6 O 1.94
7 O 0.6503 0.6289 0.1383  1 Si 1.80, 1 Os 1.94
8 O 0.9786 0.3497 0.1383  1 Si 1.80, 1 Os 1.94
9 O 0.3497 0.9786 0.6383  1 Si 1.80, 1 Os 1.94
10 O 0.0214 0.6503 0.8617  1 Si 1.80, 1 Os 1.94
11 O 0.3711 0.3497 0.3617  1 Si 1.80, 1 Os 1.94
12 O 0.9786 0.6289 0.3617  1 Si 1.80, 1 Os 1.94
13 O 0.6289 0.9786 0.8617  1 Si 1.80, 1 Os 1.94
14 O 0.6503 0.0214 0.3617  1 Si 1.80, 1 Os 1.94
15 O 0.0214 0.3711 0.6383  1 Si 1.80, 1 Os 1.94
16 O 0.3711 0.0214 0.1383  1 Si 1.80, 1 Os 1.94
17 O 0.6289 0.6503 0.6383  1 Si 1.80, 1 Os 1.94
18 O 0.3497 0.3711 0.8617  1 Si 1.80, 1 Os 1.94

Computed properties:
The uncorrected formation energy is -1509.8 meV/atom. The value obtained for the final energy is -6.81 eV per atom.



[10]
DFT (GGA-PBE) results for a geometry-optimized Ag2MoAs2 structure.

a = 6.4925 Å, b = 6.4925 Å, c = 4.5067 Å
α = 90.00°, β = 90.00°, γ = 90.00°
With the nearest neighbours (Å) after each atom.
Fractional positions:
1 Mo 0.0000 0.0000 0.0000  4 As 2.52
2 Mo 0.5000 0.5000 0.0000  4 As 2.52
3 As 0.3619 0.8619 0.0000  2 Mo 2.52, 1 As 2.54, 2 Ag 2.60
4 As 0.8619 0.6381 0.0000  2 Mo 2.52, 1 As 2.54, 2 Ag 2.60
5 As 0.6381 0.1381 0.0000  2 Mo 2.52, 1 As 2.54, 2 Ag 2.60
6 As 0.1381 0.3619 0.0000  2 Mo 2.52, 1 As 2.54, 2 Ag 2.60
7 Ag 0.2208 0.7208 0.5000  2 As 2.60
8 Ag 0.7208 0.7792 0.5000  2 As 2.60
9 Ag 0.7792 0.2792 0.5000  2 As 2.60
10 Ag 0.2792 0.2208 0.5000  2 As 2.60

Computed properties:
The calculated formation energy is 0.240 eV/atom. The value obtained for the final energy is -4.93 eV per atom.



Q: Which of these has the highest final energy?
A: RbCd3Hg3



Q: Look up the final energy of the fourth one.
A: -5.81 eV per atom



Q: final energy of number 3 (K2HgAu2)?
A: -1.99 eV per atom



Q: Which formula does entry 5 have?
A: Rb4S12Cl